A plane-wave DFT calculation with PBE was carried out for a geometry-optimized GeMoS3 structure.

VASP energy: -26.9 eV for the cell shown
Space-group type: No. 221

Cell lengths 4.706, 4.706, 4.706 Å; angles 90.00, 90.00, 90.00 degrees
Positions (direct):
Mo 0.000 0.000 0.000
S 0.000 0.500 0.000
S 0.500 0.000 0.000
Ge 0.500 0.500 0.500
S 0.000 0.000 0.500